This record from the Alexandria database describes a geometry-optimized CoRuO2 structure. The functional is PBE+U.

```
8
Lattice="-2.344 2.344 4.443 2.344 -2.344 4.443 2.344 2.344 -4.443" Properties=species:S:1:pos:R:3 pbc="T T T"
Co 0.000 0.000 0.000
Co 0.000 2.344 2.221
Ru 2.344 0.000 2.221
Ru 0.000 0.000 4.443
O 3.515 1.102 -1.111
O 1.102 1.172 1.111
O -1.172 1.241 3.332
O 1.241 1.172 5.553
```

Values from the calculation:
VASP energy: -6.49 eV/atom
Space-group type: I-42d, No. 122
Theoretical density: 6.533 g/cm3